w) {"formula": "TbPrErAl", "functional": "PBE", "state": "relaxed", "volume_a3_per_cell": 115, "mass_density_g_cm3": 7.17, "spacegroup": "P4mm (99)", "n_ef_per_ev_cell": 3.3, "magmom_total_mub_per_fu": 0.000, "lattice_angstrom": [[3.542, 0.000, 0.000], [0.000, 3.542, 0.000], [0.000, 0.000, 9.129]], "species": ["Tb", "Pr", "Er", "Al"], "fractional_positions": [[0.000, 0.000, 0.000], [0.500, 0.500, 0.296], [0.000, 0.000, 0.585], [0.500, 0.500, 0.789]]}

x) {"formula": "TbPrErAl", "functional": "PBE", "state": "relaxed", "volume_a3_per_cell": 448, "mass_density_g_cm3": 7.32, "spacegroup": "F-43m (216)", "n_ef_per_ev_cell": 28.3, "magmom_total_mub_per_fu": 0.005, "lattice_angstrom": [[7.654, 0.000, 0.000], [0.000, 7.654, 0.000], [0.000, 0.000, 7.654]], "species": ["Tb", "Tb", "Tb", "Tb", "Pr", "Pr", "Pr", "Pr", "Er", "Er", "Er", "Er", "Al", "Al", "Al", "Al"], "fractional_positions": [[0.000, 0.000, 0.000], [0.000, 0.500, 0.500], [0.500, 0.000, 0.500], [0.500, 0.500, 0.000], [0.000, 0.000, 0.500], [0.000, 0.500, 0.000], [0.500, 0.000, 0.000], [0.500, 0.500, 0.500], [0.250, 0.250, 0.750], [0.250, 0.750, 0.250], [0.750, 0.250, 0.250], [0.750, 0.750, 0.750], [0.250, 0.250, 0.250], [0.250, 0.750, 0.750], [0.750, 0.250, 0.750], [0.750, 0.750, 0.250]]}

How do the energies compare? Relative to the most stable structure, in eV/atom: w) 0.000; x) 0.133.

w) {"formula": "PrErAlTl", "functional": "PBE", "state": "relaxed", "volume_a3_per_cell": 107, "mass_density_g_cm3": 8.41, "spacegroup": "P4mm (99)", "n_ef_per_ev_cell": 2.2, "magmom_total_mub_per_fu": 0.000, "lattice_angstrom": [[3.714, 0.000, 0.000], [0.000, 3.714, 0.000], [0.000, 0.000, 7.724]], "species": ["Pr", "Er", "Al", "Tl"], "fractional_positions": [[0.000, 0.000, 0.000], [0.000, 0.000, 0.472], [0.500, 0.500, 0.251], [0.500, 0.500, 0.716]]}

x) {"formula": "PrErAlTl", "functional": "PBE", "state": "relaxed", "volume_a3_per_cell": 428, "mass_density_g_cm3": 8.36, "spacegroup": "F-43m (216)", "n_ef_per_ev_cell": 4.6, "magmom_total_mub_per_fu": 0.000, "lattice_angstrom": [[7.539, 0.000, 0.000], [0.000, 7.539, 0.000], [0.000, 0.000, 7.539]], "species": ["Pr", "Pr", "Pr", "Pr", "Er", "Er", "Er", "Er", "Al", "Al", "Al", "Al", "Tl", "Tl", "Tl", "Tl"], "fractional_positions": [[0.000, 0.000, 0.000], [0.000, 0.500, 0.500], [0.500, 0.000, 0.500], [0.500, 0.500, 0.000], [0.000, 0.000, 0.500], [0.000, 0.500, 0.000], [0.500, 0.000, 0.000], [0.500, 0.500, 0.500], [0.250, 0.250, 0.250], [0.250, 0.750, 0.750], [0.750, 0.250, 0.750], [0.750, 0.750, 0.250], [0.250, 0.250, 0.750], [0.250, 0.750, 0.250], [0.750, 0.250, 0.250], [0.750, 0.750, 0.750]]}

How do the energies compare? Relative to the most stable structure, in eV/atom: w) 0.000; x) 0.033.

w) {"formula": "PrErTmAl", "functional": "PBE", "state": "relaxed", "volume_a3_per_cell": 441, "mass_density_g_cm3": 7.60, "spacegroup": "F-43m (216)", "n_ef_per_ev_cell": 26.0, "magmom_total_mub_per_fu": 0.004, "lattice_angstrom": [[7.610, 0.000, 0.000], [0.000, 7.610, 0.000], [0.000, 0.000, 7.610]], "species": ["Pr", "Pr", "Pr", "Pr", "Er", "Er", "Er", "Er", "Tm", "Tm", "Tm", "Tm", "Al", "Al", "Al", "Al"], "fractional_positions": [[0.000, 0.000, 0.000], [0.000, 0.500, 0.500], [0.500, 0.000, 0.500], [0.500, 0.500, 0.000], [0.000, 0.000, 0.500], [0.000, 0.500, 0.000], [0.500, 0.000, 0.000], [0.500, 0.500, 0.500], [0.250, 0.250, 0.750], [0.250, 0.750, 0.250], [0.750, 0.250, 0.250], [0.750, 0.750, 0.750], [0.250, 0.250, 0.250], [0.250, 0.750, 0.750], [0.750, 0.250, 0.750], [0.750, 0.750, 0.250]]}

x) {"formula": "PrErTmAl", "functional": "PBE", "state": "relaxed", "volume_a3_per_cell": 112, "mass_density_g_cm3": 7.45, "spacegroup": "P4mm (99)", "n_ef_per_ev_cell": 3.0, "magmom_total_mub_per_fu": 0.000, "lattice_angstrom": [[3.524, 0.000, 0.000], [0.000, 3.524, 0.000], [0.000, 0.000, 9.045]], "species": ["Pr", "Er", "Tm", "Al"], "fractional_positions": [[0.000, 0.000, 0.000], [0.500, 0.500, 0.706], [0.500, 0.500, 0.292], [0.000, 0.000, 0.498]]}

How do the energies compare? Relative to the most stable structure, in eV/atom: w) 0.139; x) 0.000.

w) {"formula": "PrYErAl", "functional": "PBE", "state": "relaxed", "volume_a3_per_cell": 114, "mass_density_g_cm3": 6.15, "spacegroup": "P4mm (99)", "n_ef_per_ev_cell": 3.4, "magmom_total_mub_per_fu": 0.000, "lattice_angstrom": [[3.546, 0.000, 0.000], [0.000, 3.546, 0.000], [0.000, 0.000, 9.107]], "species": ["Pr", "Y", "Er", "Al"], "fractional_positions": [[0.000, 0.000, 0.000], [0.500, 0.500, 0.703], [0.500, 0.500, 0.289], [0.000, 0.000, 0.493]]}

x) {"formula": "PrYErAl", "functional": "PBE", "state": "relaxed", "volume_a3_per_cell": 449, "mass_density_g_cm3": 6.27, "spacegroup": "F-43m (216)", "n_ef_per_ev_cell": 26.6, "magmom_total_mub_per_fu": 0.547, "lattice_angstrom": [[7.658, 0.000, 0.000], [0.000, 7.658, 0.000], [0.000, 0.000, 7.658]], "species": ["Pr", "Pr", "Pr", "Pr", "Y", "Y", "Y", "Y", "Er", "Er", "Er", "Er", "Al", "Al", "Al", "Al"], "fractional_positions": [[0.000, 0.000, 0.000], [0.000, 0.500, 0.500], [0.500, 0.000, 0.500], [0.500, 0.500, 0.000], [0.000, 0.000, 0.500], [0.000, 0.500, 0.000], [0.500, 0.000, 0.000], [0.500, 0.500, 0.500], [0.250, 0.250, 0.750], [0.250, 0.750, 0.250], [0.750, 0.250, 0.250], [0.750, 0.750, 0.750], [0.250, 0.250, 0.250], [0.250, 0.750, 0.750], [0.750, 0.250, 0.750], [0.750, 0.750, 0.250]]}

How do the energies compare? Relative to the most stable structure, in eV/atom: w) 0.000; x) 0.138.

w) {"formula": "PrErAlZn", "functional": "PBE", "state": "relaxed", "volume_a3_per_cell": 391, "mass_density_g_cm3": 6.81, "spacegroup": "F-43m (216)", "n_ef_per_ev_cell": 13.4, "magmom_total_mub_per_fu": 0.000, "lattice_angstrom": [[7.312, 0.000, 0.000], [0.000, 7.312, 0.000], [0.000, 0.000, 7.312]], "species": ["Pr", "Pr", "Pr", "Pr", "Er", "Er", "Er", "Er", "Al", "Al", "Al", "Al", "Zn", "Zn", "Zn", "Zn"], "fractional_positions": [[0.000, 0.000, 0.000], [0.000, 0.500, 0.500], [0.500, 0.000, 0.500], [0.500, 0.500, 0.000], [0.000, 0.000, 0.500], [0.000, 0.500, 0.000], [0.500, 0.000, 0.000], [0.500, 0.500, 0.500], [0.250, 0.250, 0.250], [0.250, 0.750, 0.750], [0.750, 0.250, 0.750], [0.750, 0.750, 0.250], [0.250, 0.250, 0.750], [0.250, 0.750, 0.250], [0.750, 0.250, 0.250], [0.750, 0.750, 0.750]]}

x) {"formula": "PrErAlZn", "functional": "PBE", "state": "relaxed", "volume_a3_per_cell": 97, "mass_density_g_cm3": 6.84, "spacegroup": "P4mm (99)", "n_ef_per_ev_cell": 3.2, "magmom_total_mub_per_fu": 0.000, "lattice_angstrom": [[3.624, 0.000, 0.000], [0.000, 3.624, 0.000], [0.000, 0.000, 7.404]], "species": ["Pr", "Er", "Al", "Zn"], "fractional_positions": [[0.000, 0.000, 0.000], [0.000, 0.000, 0.509], [0.500, 0.500, 0.272], [0.500, 0.500, 0.724]]}

How do the energies compare? Relative to the most stable structure, in eV/atom: w) 0.016; x) 0.000.

w) {"formula": "ErPu2Al", "functional": "PBE", "state": "relaxed", "volume_a3_per_cell": 98, "mass_density_g_cm3": 11.60, "spacegroup": "P4/mmm (123)", "n_ef_per_ev_cell": 9.6, "magmom_total_mub_per_fu": 11.702, "lattice_angstrom": [[4.436, 0.000, 0.000], [0.000, 4.436, 0.000], [0.000, 0.000, 4.965]], "species": ["Er", "Pu", "Pu", "Al"], "fractional_positions": [[0.000, 0.000, 0.000], [0.000, 0.500, 0.500], [0.500, 0.000, 0.500], [0.500, 0.500, 0.000]]}

x) {"formula": "ErPu2Al", "functional": "PBE", "state": "relaxed", "volume_a3_per_cell": 101, "mass_density_g_cm3": 11.22, "spacegroup": "P4/mmm (123)", "n_ef_per_ev_cell": 13.0, "magmom_total_mub_per_fu": 12.008, "lattice_angstrom": [[3.956, 0.000, 0.000], [0.000, 3.956, 0.000], [0.000, 0.000, 6.453]], "species": ["Er", "Pu", "Pu", "Al"], "fractional_positions": [[0.000, 0.000, 0.000], [0.500, 0.500, 0.276], [0.500, 0.500, 0.724], [0.000, 0.000, 0.500]]}

y) {"formula": "ErPu2Al", "functional": "PBE", "state": "relaxed", "volume_a3_per_cell": 402, "mass_density_g_cm3": 11.26, "spacegroup": "Fm-3m (225)", "n_ef_per_ev_cell": 45.5, "magmom_total_mub_per_fu": 11.984, "lattice_angstrom": [[7.382, 0.000, 0.000], [0.000, 7.382, 0.000], [0.000, 0.000, 7.382]], "species": ["Er", "Er", "Er", "Er", "Pu", "Pu", "Pu", "Pu", "Pu", "Pu", "Pu", "Pu", "Al", "Al", "Al", "Al"], "fractional_positions": [[0.000, 0.000, 0.000], [0.000, 0.500, 0.500], [0.500, 0.000, 0.500], [0.500, 0.500, 0.000], [0.250, 0.250, 0.250], [0.250, 0.250, 0.750], [0.250, 0.750, 0.250], [0.250, 0.750, 0.750], [0.750, 0.250, 0.250], [0.750, 0.250, 0.750], [0.750, 0.750, 0.250], [0.750, 0.750, 0.750], [0.000, 0.000, 0.500], [0.000, 0.500, 0.000], [0.500, 0.000, 0.000], [0.500, 0.500, 0.500]]}

How do the energies compare? Relative to the most stable structure, in eV/atom: w) 0.000; x) 0.139; y) 0.204.